# Th2Al4Ni3Au

A geometry-optimized Th2Al4Ni3Au structure (PBE, the Alexandria database).

Output
formation enthalpy at 0 K = -0.60 eV/atom
M_tot = 0.00 μB/cell
D(E_F) = 9.2 states/eV per cell
total DFT energy (no corrections) = -5.644 eV/atom

Cell lengths 4.1906, 4.1906, 10.2666 Å; angles 90.00, 90.00, 90.00 degrees
Closest atoms and distances in Å follow each position.
Fractional coordinates of all 10 atoms:
Th1 0.5000 0.0000 0.2426  6 Ni 3.19-3.37, 8 Al 3.20-3.25, 2 Au 3.37
Th2 0.0000 0.5000 0.7574  6 Ni 3.19-3.37, 8 Al 3.20-3.25, 2 Au 3.37
Al1 0.5000 0.5000 0.0000  4 Ni 2.48
Al2 0.0000 0.0000 0.0000  4 Ni 2.48
Al3 0.5000 0.0000 0.6385  3 Ni 2.39-2.53, 2 Au 2.53
Al4 0.0000 0.5000 0.3615  3 Ni 2.39-2.53, 2 Au 2.53
Ni1 0.0000 0.0000 0.5000  4 Al 2.53
Ni2 0.5000 0.0000 0.8712  5 Al 2.39-2.48
Ni3 0.0000 0.5000 0.1288  5 Al 2.39-2.48
Au1 0.5000 0.5000 0.5000  4 Al 2.53